Entry from Alexandria via LeMat-Bulk: a PBEsol-optimized structure of CeCdAu (meta-GGA SCAN). Values from VASP.

Output
As for the volume: 22.85 Å³ per atom. Its formation energy is -717 meV/atom.

Structure (Quantum ESPRESSO input):
```
&SYSTEM
  ibrav = 0, nat = 9, ntyp = 3
/
ATOMIC_SPECIES
Ce 140.12 Ce.upf
Cd 112.41 Cd.upf
Au 196.97 Au.upf
ATOMIC_POSITIONS crystal
Ce 0.000 0.408 0.000
Ce 0.408 0.000 0.000
Ce 0.592 0.592 0.000
Cd 0.000 0.744 0.500
Cd 0.256 0.256 0.500
Cd 0.744 0.000 0.500
Au 0.000 0.000 0.000
Au 0.333 0.667 0.500
Au 0.667 0.333 0.500
CELL_PARAMETERS angstrom
7.704 0.000 0.000
-3.852 6.671 0.000
0.000 0.000 4.001
```